# 1
KSr2Hf: optimized geometry, PBE.

Results
- SG = Fm-3m (225)
- calculated volume (Å³/cell) = 165.9
- D(E_F) (states/eV per cell) = 4.5
- ΔE to the lowest computed polymorph (kJ/mol of atoms) = 0.0
- DFT formation energy (eV/atom) = 0.791
- final energy (eV per atom) = -2.81

```
4
Lattice="2.0887 -4.6834 -3.4275 -3.5651 -4.9380 -0.9751 -2.3812 -1.0280 -5.5963" Properties=species:S:1:pos:R:3 pbc="T T T"
K 0.0000 0.0000 0.0000
Sr -2.8932 -7.9871 -7.4992
Hf -1.9288 -5.3247 -4.9994
Sr -0.9644 -2.6624 -2.4997
```


# 2
K3SrHf: optimized geometry, PBE.

Results
- SG = Pm-3m (221)
- calculated volume (Å³/cell) = 368.5
- D(E_F) (states/eV per cell) = 9.7
- ΔE to the lowest computed polymorph (kJ/mol of atoms) = 38.5
- DFT formation energy (eV/atom) = 1.528
- final energy (eV per atom) = -1.46

```
5
Lattice="7.1693 0.0000 0.0000 0.0000 7.1693 0.0000 0.0000 0.0000 7.1693" Properties=species:S:1:pos:R:3 pbc="T T T"
Sr 0.0000 0.0000 0.0000
K 0.0000 3.5846 0.0000
K 0.0000 0.0000 3.5846
Hf 3.5846 3.5846 3.5846
K 3.5846 0.0000 0.0000
```


# 3
KSr2Hf: optimized geometry, PBE.

Results
- SG = I-42d (122)
- calculated volume (Å³/cell) = 373.8
- D(E_F) (states/eV per cell) = 11.4
- ΔE to the lowest computed polymorph (kJ/mol of atoms) = 31.1
- DFT formation energy (eV/atom) = 1.114
- final energy (eV per atom) = -2.49

```
8
Lattice="-4.3958 -0.8074 3.0801 3.1705 -0.6238 4.3613 -1.3018 11.7473 6.0043" Properties=species:S:1:pos:R:3 pbc="T T T"
K -0.6127 -0.7156 3.7207
Hf 0.0000 0.0000 0.0000
Sr -1.4919 8.2848 7.2168
Sr -2.7541 2.3399 4.0256
Sr -1.9926 7.5471 11.0914
K 0.6280 5.2039 7.0432
Hf -3.1552 5.1121 6.4025
Sr 1.1842 2.4603 4.5575
```


- What is the calculated volume in the second record?
  368.5 Å³/cell